Record 1
Compound: BaTl3Ni
Source: Alexandria via LeMat-Bulk
Functional: PBE-GGA
Structure: relaxed

space-group type	Pm-3m, No. 221
E above lowest polymorph	1.4266	eV/atom
V	53.41	A^3/atom
total magnetization	0.42	Bohr magnetons per cell
energy of formation from the pure elements	1.31	eV/atom

a b c (Å): 6.440 6.440 6.440
angles (deg): 90.00 90.00 90.00
Each line ends with the local moment (μB).
Element x y z (fractional)
Ni1 0.500 0.500 0.500  -0.01
Tl1 0.000 0.500 0.000  -0.03
Tl2 0.000 0.000 0.500  -0.01
Tl3 0.500 0.000 0.000  -0.04
Ba1 0.000 0.000 0.000  -0.07

=====

Record 2
Compound: TbScPd
Source: Alexandria via LeMat-Bulk
Functional: PBE-GGA
Structure: relaxed

space-group type	P3m1, No. 156
E above lowest polymorph	0.2017	eV/atom
V	23.14	A^3/atom
total magnetization	0.00	Bohr magnetons per cell
energy of formation from the pure elements	-0.42	eV/atom

a b c (Å): 3.740 4.629 4.629
angles (deg): 120.00 90.00 90.00
Element x y z (fractional)
Sc1 0.112 0.000 0.000
Tb1 0.636 0.667 0.333
Pd1 0.252 0.333 0.667

=====

Record 3
Compound: Ti2CdCo
Source: Alexandria via LeMat-Bulk
Functional: PBE-GGA
Structure: relaxed

space-group type	P4/mmm, No. 123
V	15.99	A^3/atom
total magnetization	0.14	Bohr magnetons per cell
energy of formation from the pure elements	-0.13	eV/atom

a b c (Å): 2.993 2.993 7.141
angles (deg): 90.00 90.00 90.00
Each line ends with the local moment (μB).
Element x y z (fractional)
Ti1 0.000 0.000 0.797  0.01
Ti2 0.000 0.000 0.203  0.01
Co1 0.500 0.500 0.000  0.12
Cd1 0.500 0.500 0.500  0.00

=====

Record 4
Compound: Tb6NdYTm2
Source: Alexandria via LeMat-Bulk
Functional: PBE-GGA
Structure: relaxed

space-group type	C2/c, No. 15
V	32.49	A^3/atom
total magnetization	0.00	Bohr magnetons per cell
energy of formation from the pure elements	0.12	eV/atom

a b c (Å): 9.598 8.787 8.787
angles (deg): 117.78 93.91 93.91
Element x y z (fractional)
Tb1 0.055 0.120 0.753
Tb2 0.445 0.247 0.880
Tb3 0.945 0.880 0.247
Tb4 0.555 0.753 0.120
Tb5 0.317 0.976 0.430
Tb6 0.183 0.570 0.024
Tb7 0.683 0.024 0.570
Tb8 0.817 0.430 0.976
Tb9 0.121 0.708 0.497
Tb10 0.379 0.503 0.292
Tb11 0.879 0.292 0.503
Tb12 0.621 0.497 0.708
Nd1 0.250 0.407 0.593
Nd2 0.750 0.593 0.407
Y1 0.250 0.975 0.025
Y2 0.750 0.025 0.975
Tm1 0.456 0.806 0.701
Tm2 0.044 0.299 0.194
Tm3 0.544 0.194 0.299
Tm4 0.956 0.701 0.806

=====

Record 5
Compound: Tm3Mg3Cd2
Source: Alexandria via LeMat-Bulk
Functional: PBE-GGA
Structure: relaxed

space-group type	Pmmm, No. 47
V	24.70	A^3/atom
total magnetization	0.00	Bohr magnetons per cell
energy of formation from the pure elements	-0.17	eV/atom

a b c (Å): 5.099 5.094 7.608
angles (deg): 90.00 90.00 90.00
Element x y z (fractional)
Tm1 0.500 0.000 0.500
Tm2 0.000 0.500 0.000
Tm3 0.000 0.500 0.500
Mg1 0.500 0.500 0.763
Mg2 0.500 0.500 0.237
Mg3 0.500 0.000 0.000
Cd1 0.000 0.000 0.758
Cd2 0.000 0.000 0.242

=====

Record 6
Compound: ThCrW2C4
Source: Alexandria via LeMat-Bulk
Functional: PBE-GGA
Structure: relaxed

space-group type	Cmcm, No. 63
V	12.09	A^3/atom
total magnetization	0.00	Bohr magnetons per cell
energy of formation from the pure elements	-0.05	eV/atom

a b c (Å): 3.294 5.791 10.578
angles (deg): 90.00 90.00 106.53
Element x y z (fractional)
Th1 0.101 0.203 0.750
Th2 0.899 0.797 0.250
Cr1 0.836 0.673 0.750
Cr2 0.164 0.327 0.250
W1 0.378 0.757 0.542
W2 0.622 0.243 0.042
W3 0.622 0.243 0.458
W4 0.378 0.757 0.958
C1 0.264 0.528 0.111
C2 0.736 0.472 0.611
C3 0.736 0.472 0.889
C4 0.264 0.528 0.389
C5 0.000 0.000 0.500
C6 0.000 0.000 0.000
C7 0.426 0.853 0.750
C8 0.574 0.147 0.250

=====

Record 7
Compound: RbNa2SrP
Source: Alexandria via LeMat-Bulk
Functional: PBE-GGA
Structure: relaxed

space-group type	P4/mmm, No. 123
V	58.62	A^3/atom
total magnetization	0.00	Bohr magnetons per cell
energy of formation from the pure elements	1.04	eV/atom

a b c (Å): 6.349 7.271 6.349
angles (deg): 90.00 90.00 90.00
Element x y z (fractional)
Sr1 0.000 0.000 0.000
Na1 0.000 0.000 0.500
Na2 0.500 0.000 0.000
Rb1 0.000 0.500 0.000
P1 0.500 0.500 0.500

=====

Record 8
Compound: Li5ZnAu2
Source: Alexandria via LeMat-Bulk
Functional: PBE-GGA
Structure: relaxed

space-group type	I4/mmm, No. 139
E above lowest polymorph	0.0000	eV/atom
V	15.71	A^3/atom
total magnetization	0.00	Bohr magnetons per cell
energy of formation from the pure elements	-0.36	eV/atom

a b c (Å): 4.646 4.646 6.686
angles (deg): 110.33 110.33 90.00
Element x y z (fractional)
Li1 0.500 0.500 0.000
Li2 0.867 0.367 0.733
Li3 0.367 0.867 0.733
Li4 0.133 0.633 0.267
Li5 0.633 0.133 0.267
Zn1 0.000 0.000 0.000
Au1 0.753 0.753 0.506
Au2 0.247 0.247 0.494